[1]
{
  "formula": "UPa3Tl3Se8",
  "functional": "PBE-GGA",
  "state": "relaxed",
  "raw_formation_energy_ev_per_atom": -1.029,
  "spacegroup": "R-3m (166)",
  "magnetic_moment_mub_per_fu": 8.0,
  "volume_a3_per_cell": 468,
  "lattice_angstrom": [[4.0990, 2.3666, 8.0441], [-4.0990, 2.3666, 8.0441], [0.0000, -4.7331, 8.0441]],
  "species": ["U", "Pa", "Pa", "Pa", "Tl", "Tl", "Tl", "Se", "Se", "Se", "Se", "Se", "Se", "Se", "Se"],
  "fractional_positions": [[0.0000, 0.0000, 0.0000], [0.0000, 0.5000, 0.5000], [0.5000, 0.0000, 0.5000], [0.5000, 0.5000, 0.0000], [0.0000, 0.0000, 0.5000], [0.0000, 0.5000, 0.0000], [0.5000, 0.0000, 0.0000], [0.2372, 0.2372, 0.7329], [0.2372, 0.7329, 0.2372], [0.2636, 0.2636, 0.2636], [0.2671, 0.7628, 0.7628], [0.7329, 0.2372, 0.2372], [0.7364, 0.7364, 0.7364], [0.7628, 0.2671, 0.7628], [0.7628, 0.7628, 0.2671]]
}


[2]
{
  "formula": "UPaTl2Se4",
  "functional": "PBE-GGA",
  "state": "relaxed",
  "raw_formation_energy_ev_per_atom": -0.927,
  "spacegroup": "P2/m (10)",
  "magnetic_moment_mub_per_fu": 5.0,
  "volume_a3_per_cell": 234,
  "lattice_angstrom": [[7.1063, 0.0000, 0.0000], [0.0000, 4.0916, 0.0000], [-2.3532, 0.0000, 8.0634]],
  "species": ["U", "Pa", "Tl", "Tl", "Se", "Se", "Se", "Se"],
  "fractional_positions": [[0.0000, 0.0000, 0.0000], [0.5000, 0.5000, 0.0000], [0.0000, 0.5000, 0.5000], [0.5000, 0.0000, 0.5000], [0.2381, 0.5000, 0.2089], [0.2652, 0.0000, 0.7895], [0.7348, 0.0000, 0.2105], [0.7619, 0.5000, 0.7911]]
}


[3]
{
  "formula": "U2PaTl3Se6",
  "functional": "PBE-GGA",
  "state": "relaxed",
  "raw_formation_energy_ev_per_atom": -0.913,
  "spacegroup": "C2/m (12)",
  "magnetic_moment_mub_per_fu": 8.0,
  "volume_a3_per_cell": 352,
  "lattice_angstrom": [[3.5564, -6.1595, 0.0000], [3.5564, 6.1595, 0.0000], [-2.3700, 0.0000, 8.0326]],
  "species": ["U", "U", "Pa", "Tl", "Tl", "Tl", "Se", "Se", "Se", "Se", "Se", "Se"],
  "fractional_positions": [[0.1664, 0.8336, 0.0000], [0.8336, 0.1664, 0.0000], [0.5000, 0.5000, 0.0000], [0.0000, 0.0000, 0.5000], [0.3316, 0.6684, 0.5000], [0.6684, 0.3316, 0.5000], [0.0993, 0.4304, 0.7909], [0.2391, 0.2391, 0.2100], [0.4304, 0.0993, 0.7909], [0.5696, 0.9007, 0.2091], [0.7609, 0.7609, 0.7900], [0.9007, 0.5696, 0.2091]]
}


[4]
{
  "formula": "U2PaTl2Se6",
  "functional": "PBE-GGA",
  "state": "relaxed",
  "raw_formation_energy_ev_per_atom": -1.022,
  "spacegroup": "C2/m (12)",
  "magnetic_moment_mub_per_fu": 7.0,
  "volume_a3_per_cell": 351,
  "lattice_angstrom": [[3.5663, -6.1768, 0.0000], [3.5663, 6.1768, 0.0000], [-2.4024, 0.0000, 7.9643]],
  "species": ["U", "U", "Pa", "Tl", "Tl", "Se", "Se", "Se", "Se", "Se", "Se"],
  "fractional_positions": [[0.1665, 0.8335, 0.0000], [0.8335, 0.1665, 0.0000], [0.5000, 0.5000, 0.0000], [0.3319, 0.6681, 0.5000], [0.6681, 0.3319, 0.5000], [0.1001, 0.4309, 0.7946], [0.2391, 0.2391, 0.2064], [0.4309, 0.1001, 0.7946], [0.5691, 0.8999, 0.2054], [0.7609, 0.7609, 0.7936], [0.8999, 0.5691, 0.2054]]
}


[5]
{
  "formula": "Pa3Tl3VSe8",
  "functional": "PBE-GGA",
  "state": "relaxed",
  "raw_formation_energy_ev_per_atom": -0.960,
  "spacegroup": "R-3m (166)",
  "magnetic_moment_mub_per_fu": 7.0,
  "volume_a3_per_cell": 455,
  "lattice_angstrom": [[4.0312, 2.3274, 8.0784], [-4.0312, 2.3274, 8.0784], [0.0000, -4.6549, 8.0784]],
  "species": ["Pa", "Pa", "Pa", "Tl", "Tl", "Tl", "V", "Se", "Se", "Se", "Se", "Se", "Se", "Se", "Se"],
  "fractional_positions": [[0.0000, 0.5000, 0.5000], [0.5000, 0.0000, 0.5000], [0.5000, 0.5000, 0.0000], [0.0000, 0.0000, 0.5000], [0.0000, 0.5000, 0.0000], [0.5000, 0.0000, 0.0000], [0.0000, 0.0000, 0.0000], [0.2220, 0.2220, 0.7512], [0.2220, 0.7512, 0.2220], [0.2488, 0.7780, 0.7780], [0.2629, 0.2629, 0.2629], [0.7371, 0.7371, 0.7371], [0.7512, 0.2220, 0.2220], [0.7780, 0.2488, 0.7780], [0.7780, 0.7780, 0.2488]]
}


[6]
{
  "formula": "PaTl3V2Se6",
  "functional": "PBE-GGA",
  "state": "relaxed",
  "raw_formation_energy_ev_per_atom": -0.766,
  "spacegroup": "C2/m (12)",
  "magnetic_moment_mub_per_fu": 6.0,
  "volume_a3_per_cell": 310,
  "lattice_angstrom": [[3.3561, -5.8147, 0.0000], [3.3561, 5.8147, 0.0000], [-2.2864, 0.0000, 7.9454]],
  "species": ["Pa", "Tl", "Tl", "Tl", "V", "V", "Se", "Se", "Se", "Se", "Se", "Se"],
  "fractional_positions": [[0.0000, 0.0000, 0.0000], [0.1598, 0.8402, 0.5000], [0.5000, 0.5000, 0.5000], [0.8402, 0.1598, 0.5000], [0.3324, 0.6676, 0.0000], [0.6676, 0.3324, 0.0000], [0.0653, 0.4189, 0.1917], [0.2912, 0.2912, 0.8132], [0.4189, 0.0653, 0.1917], [0.5811, 0.9347, 0.8083], [0.7088, 0.7088, 0.1868], [0.9347, 0.5811, 0.8083]]
}